# 1
VASP calculation (PBE-GGA) on crystalline CsHoCuTe3 at its relaxed geometry.

The structure in POSCAR format:
```
CsHoCuTe3
1.0
4.278 0.000 0.000
0.000 10.591 0.116
0.000 -4.948 9.662
Te Cu Cs Ho
6 2 2 2
Direct
0.250 0.116 0.850
0.750 0.884 0.150
0.750 0.193 0.535
0.250 0.807 0.465
0.750 0.479 0.168
0.250 0.521 0.832
0.250 0.084 0.596
0.750 0.916 0.404
0.750 0.779 0.756
0.250 0.221 0.244
0.750 0.322 0.854
0.250 0.678 0.146
```

Summary:
Total moment, μB per formula unit: 0.0
E_form (uncorrected), eV per atom: -0.93
Total energy, eV per atom: -4.09

# 2
VASP calculation (PBE-GGA) on crystalline RbVSN2 at its relaxed geometry.

The structure in POSCAR format:
```
RbVSN2
1.0
4.099 0.000 0.000
0.000 4.099 0.000
0.000 0.000 4.742
N S Rb V
2 1 1 1
Direct
0.500 0.000 0.000
0.000 0.500 0.000
0.000 0.000 0.500
0.500 0.500 0.500
0.000 0.000 0.000
```

Summary:
Total moment, μB per formula unit: 2.0
E_form (uncorrected), eV per atom: 0.20
Total energy, eV per atom: -5.97
Excess energy over the best structure of this formula in the dataset, eV/f.u.: 0.00